# SrNdMnO4, optimized geometry, DFT GGA+U
data_SrNdMnO4
_chemical_formula_sum 'Sr2 Nd2 Mn2 O8'
_cell_length_a 3.8724
_cell_length_b 3.8724
_cell_length_c 12.7161
_cell_angle_alpha 90.00
_cell_angle_beta 90.00
_cell_angle_gamma 90.00
_space_group_name_H-M_alt 'I 4 m m'
_space_group_IT_number 107
_space_group_name_Hall 'I 4 -2'
loop_
_atom_site_label
_atom_site_type_symbol
_atom_site_fract_x
_atom_site_fract_y
_atom_site_fract_z
Sr1 Sr 0.0000 0.0000 0.0000
Nd1 Nd 0.0000 0.0000 0.7145
Mn1 Mn 0.0000 0.0000 0.3576
O1 O 0.0000 0.0000 0.1884
O2 O 0.0000 0.0000 0.5319
O3 O 0.0000 0.5000 0.3471
# DOS at the Fermi energy   1.9 states/eV per cell
# Electronic total energy   -0.2722 hartree per atom
# Total magnetic moment   8.0 μB per cell